[1]
This record from Alexandria via LeMat-Bulk describes crystalline Ba3Ca2 at its relaxed geometry. The functional is PBE.

Cell lengths 6.6270, 6.6270, 8.2163 Å; angles 90.00, 90.00, 120.00 degrees
Space group P-3m1 (No. 164)
Symmetry-distinct sites (fractional):
Ba  0.0000  0.0000  0.0000 [1 per cell]
Ba  0.3333  0.6667  0.3552 [2 per cell]
Ca  0.3333  0.6667  0.8762 [2 per cell]

Properties
volume = 312.49 Å³/cell
distance to the lowest polymorph of the same formula = 0.151 eV per atom
energy relative to the elements = 4.24 kcal/mol of atoms

[2]
This record from Alexandria via LeMat-Bulk describes crystalline BaCa3 at its relaxed geometry. The functional is PBE.

Cell lengths 8.102, 11.483, 4.013 Å; angles 90.00, 90.00, 90.00 degrees
Space group Cmmm (No. 65)
Symmetry-distinct sites (fractional):
Ba  0.000  0.000  0.000 [2 per cell]
Ca  0.000  0.500  0.000 [2 per cell]
Ca  0.250  0.250  0.500 [4 per cell]

Properties
volume = 373.39 Å³/cell
energy relative to the elements = 1.01 kcal/mol of atoms

[3]
This record from Alexandria via LeMat-Bulk describes crystalline BaCa3 at its relaxed geometry. The functional is PBE.

Cell lengths 4.011, 6.623, 7.025 Å; angles 90.00, 90.00, 90.00 degrees
Space group Pmm2 (No. 25)
Symmetry-distinct sites (fractional):
Ba  0.000  0.000  0.000 [1 per cell]
Ca  0.000  0.500  0.334 [1 per cell]
Ca  0.500  0.000  0.500 [1 per cell]
Ca  0.500  0.500  0.821 [1 per cell]

Properties
volume = 186.60 Å³/cell
energy relative to the elements = 0.85 kcal/mol of atoms

[4]
This record from Alexandria via LeMat-Bulk describes crystalline Ba5Ca at its relaxed geometry. The functional is PBE.

Cell lengths 7.9152, 7.9152, 7.1817 Å; angles 90.00, 90.00, 120.00 degrees
Space group P6/mmm (No. 191)
Symmetry-distinct sites (fractional):
Ba  0.0000  0.5000  0.0000 [3 per cell]
Ba  0.3333  0.6667  0.5000 [2 per cell]
Ca  0.0000  0.0000  0.5000 [1 per cell]

Properties
volume = 389.66 Å³/cell
distance to the lowest polymorph of the same formula = 0.244 eV per atom
energy relative to the elements = 5.95 kcal/mol of atoms

[5]
This record from Alexandria via LeMat-Bulk describes crystalline Ba8Ca at its relaxed geometry. The functional is PBE.

Cell lengths 13.234, 13.234, 6.333 Å; angles 90.00, 90.00, 90.00 degrees
Space group I4/mmm (No. 139)
Symmetry-distinct sites (fractional):
Ba  0.000  0.329  0.000 [8 per cell]
Ba  0.163  0.163  0.500 [8 per cell]
Ca  0.000  0.000  0.000 [2 per cell]

Properties
volume = 1109.24 Å³/cell
energy relative to the elements = 0.63 kcal/mol of atoms

[6]
This record from Alexandria via LeMat-Bulk describes crystalline Ba7Ca2 at its relaxed geometry. The functional is PBE.

Cell lengths 7.5414, 7.5414, 10.7112 Å; angles 90.00, 90.00, 120.00 degrees
Space group P-31m (No. 162)
Symmetry-distinct sites (fractional):
Ba  0.0000  0.0000  0.0000 [1 per cell]
Ba  0.0000  0.3381  0.6750 [6 per cell]
Ca  0.3333  0.6667  0.0000 [2 per cell]

Properties
volume = 527.56 Å³/cell
distance to the lowest polymorph of the same formula = 0.000 eV per atom
energy relative to the elements = 0.90 kcal/mol of atoms

[7]
This record from Alexandria via LeMat-Bulk describes crystalline BaCa4 at its relaxed geometry. The functional is PBE.

Cell lengths 12.600, 12.600, 12.600 Å; angles 90.00, 90.00, 90.00 degrees
Space group I-43m (No. 217)
Symmetry-distinct sites (fractional):
Ba  0.210  0.210  0.790 [8 per cell]
Ca  0.000  0.000  0.350 [12 per cell]
Ca  0.000  0.250  0.500 [12 per cell]
Ca  0.107  0.107  0.107 [8 per cell]

Properties
volume = 2000.25 Å³/cell
distance to the lowest polymorph of the same formula = 0.147 eV per atom
energy relative to the elements = 4.01 kcal/mol of atoms

[8]
This record from Alexandria via LeMat-Bulk describes crystalline BaCa at its relaxed geometry. The functional is PBE.

Cell lengths 4.010, 4.010, 26.263 Å; angles 90.00, 90.00, 90.00 degrees
Space group I4/mmm (No. 139)
Symmetry-distinct sites (fractional):
Ba  0.000  0.000  0.077 [4 per cell]
Ca  0.000  0.000  0.302 [4 per cell]

Properties
volume = 422.38 Å³/cell
distance to the lowest polymorph of the same formula = 0.090 eV per atom
energy relative to the elements = 2.58 kcal/mol of atoms